1.
Computed, not measured: KCeSeO after structural relaxation at the PBE level of DFT.

Its crystal system is trigonal. Its space group is R3m, No. 160. The density of states at the Fermi level comes out at 0.876 states/eV per atom. The value obtained for the total energy is -23.11 eV/cell. The calculation puts the size of the total moment at 1.0 μB/f.u.

Lattice parameters (Å, degrees): 3.7991 3.7991 7.9496 76.18 76.18 60.00
Last column: magnetic moment on the atom in μB.
Sites, in units of the cell vectors:
Se: 0.2134 0.2134 0.3599  -0.03
K: 0.7836 0.7836 0.6493  0.00
Ce: 0.6338 0.6338 0.0987  0.86
O: 0.3480 0.3480 0.9561  -0.03



2.
Computed, not measured: K2CeSeO2 after structural relaxation at the PBE level of DFT.

Its crystal system is tetragonal. Its space group is P4/mmm, No. 123. The value obtained for the total energy is -34.31 eV/cell. The calculation puts the size of the total moment at 0.0 μB/f.u.

Lattice parameters (Å, degrees): 4.4607 4.4607 6.4263 90.00 90.00 90.00
Sites, in units of the cell vectors:
O: 0.5000 0.0000 0.0000
O: 0.0000 0.5000 0.0000
K: 0.5000 0.5000 0.7278
K: 0.5000 0.5000 0.2722
Se: 0.0000 0.0000 0.5000
Ce: 0.0000 0.0000 0.0000